[1]
Entry from the Alexandria database: an optimized crystal structure of BeTeSN2 (PBE).

symmetry: P4/mmm, No. 123
calculated density: 3.8 g/cm3
raw formation energy: 1.281 eV/atom
excess energy over the best structure of this formula in the dataset: 0.047 eV per atom
size of the total moment: 2.0 μB per formula unit

abc: 3.5896 3.5896 6.6654
angles: 90.00 90.00 90.00
Each line ends with the local moment (μB).
Positions (direct):
Be (0.0000, 0.0000, 0.0000)  -0.03
Te (0.0000, 0.0000, 0.5000)  0.11
S (0.5000, 0.5000, 0.5000)  0.02
N (0.0000, 0.5000, 0.0000)  0.64
N (0.5000, 0.0000, 0.0000)  0.64

=====

[2]
Entry from the Alexandria database: an optimized crystal structure of BeTeS2N (PBE).

symmetry: P4/mmm, No. 123
calculated density: 3.6 g/cm3
raw formation energy: 1.317 eV/atom
excess energy over the best structure of this formula in the dataset: 0.733 eV per atom
size of the total moment: 0.0 μB per formula unit

abc: 5.0656 5.0656 3.8663
angles: 90.00 90.00 90.00
Positions (direct):
N (0.0000, 0.0000, 0.5000)
Be (0.5000, 0.5000, 0.5000)
S (0.0000, 0.5000, 0.0000)
S (0.5000, 0.0000, 0.0000)
Te (0.0000, 0.0000, 0.0000)

=====

[3]
Entry from the Alexandria database: an optimized crystal structure of BeTeSN2 (PBE).

symmetry: P4/mmm, No. 123
calculated density: 5.2 g/cm3
raw formation energy: 1.234 eV/atom
excess energy over the best structure of this formula in the dataset: 0.000 eV per atom
size of the total moment: 1.5 μB per formula unit

abc: 3.7586 3.7586 4.4607
angles: 90.00 90.00 90.00
Each line ends with the local moment (μB).
Positions (direct):
Be (0.0000, 0.0000, 0.0000)  -0.01
N (0.5000, 0.0000, 0.0000)  0.56
N (0.0000, 0.5000, 0.0000)  0.56
S (0.0000, 0.0000, 0.5000)  0.12
Te (0.5000, 0.5000, 0.5000)  -0.11

=====

[4]
Entry from the Alexandria database: an optimized crystal structure of BeTeS2N (PBE).

symmetry: P4/mmm, No. 123
calculated density: 4.7 g/cm3
raw formation energy: 0.584 eV/atom
excess energy over the best structure of this formula in the dataset: 0.000 eV per atom
size of the total moment: 1.2 μB per formula unit

abc: 4.7732 4.7732 3.3365
angles: 90.00 90.00 90.00
Each line ends with the local moment (μB).
Positions (direct):
N (0.0000, 0.0000, 0.5000)  0.73
Te (0.5000, 0.5000, 0.5000)  -0.02
S (0.0000, 0.5000, 0.0000)  0.07
S (0.5000, 0.0000, 0.0000)  0.07
Be (0.0000, 0.0000, 0.0000)  -0.02